Entry 1:
Li5TlPb2Au2 | PBE | relaxed

extended XYZ file:
```
20
Lattice="10.498 0.000 0.000 0.000 10.498 0.000 0.000 0.000 3.701" Properties=species:S:1:pos:R:3 pbc="T T T"
Li 0.000 5.249 0.000
Li 0.676 2.191 0.000
Li 2.191 9.822 0.000
Li 3.058 4.573 0.000
Li 4.573 7.440 0.000
Li 5.249 0.000 0.000
Li 5.925 3.058 0.000
Li 7.440 5.925 0.000
Li 8.307 0.676 0.000
Li 9.822 8.307 0.000
Tl 0.000 0.000 1.850
Tl 5.249 5.249 1.850
Pb 1.814 7.063 1.850
Pb 3.435 1.814 1.850
Pb 7.063 8.684 1.850
Pb 8.684 3.435 1.850
Au 1.315 3.934 1.850
Au 3.934 9.183 1.850
Au 6.564 1.315 1.850
Au 9.183 6.564 1.850
```

Summary:
Crystal system ... tetragonal
Formation energy from the elements ... -0.312 eV/atom

Entry 2:
K4SbCl | PBE | relaxed

extended XYZ file:
```
6
Lattice="0.000 4.879 4.879 4.879 0.000 4.879 4.879 4.879 0.000" Properties=species:S:1:pos:R:3 pbc="T T T"
K 1.220 1.220 1.220
K 3.658 3.658 1.220
K 3.658 1.220 3.658
K 1.220 3.658 3.658
Sb 7.318 7.318 7.318
Cl 4.879 4.879 4.879
```

Summary:
Crystal system ... cubic
Raw formation energy ... -230 meV/atom

Entry 3:
CsS | PBE | relaxed

extended XYZ file:
```
16
Lattice="6.396 0.000 0.000 0.000 6.410 0.000 0.000 0.000 17.001" Properties=species:S:1:pos:R:3 pbc="T T T"
Cs 0.435 0.124 0.007
Cs 1.483 5.266 4.246
Cs 1.715 1.144 12.746
Cs 2.763 6.286 8.508
Cs 3.633 3.081 16.994
Cs 4.681 4.349 12.755
Cs 4.913 2.061 4.255
Cs 5.961 3.329 8.493
S 0.445 3.287 1.508
S 1.531 4.338 11.244
S 1.667 2.072 2.743
S 2.753 3.123 10.008
S 3.643 6.329 15.493
S 4.729 5.277 5.757
S 4.865 1.133 14.258
S 5.951 0.082 6.993
```

Summary:
Crystal system ... orthorhombic
Raw formation energy ... -952 meV/atom

Entry 4:
GdErHf2 | PBE | relaxed

extended XYZ file:
```
4
Lattice="4.653 0.000 0.000 0.000 4.653 0.000 0.000 0.000 4.778" Properties=species:S:1:pos:R:3 pbc="T T T"
Gd 0.000 0.000 0.000
Er 2.327 2.327 0.000
Hf 0.000 2.327 2.389
Hf 2.327 0.000 2.389
```

Summary:
Crystal system ... tetragonal
ΔE to the lowest computed polymorph ... 0 meV per atom
Formation energy from the elements ... 0.183 eV/atom

Entry 5:
KBaAg | PBE | relaxed

extended XYZ file:
```
3
Lattice="-2.097 2.097 7.802 2.097 -2.097 7.802 2.097 2.097 -7.802" Properties=species:S:1:pos:R:3 pbc="T T T"
K 0.000 0.000 0.000
Ba 0.000 0.000 4.054
Ag 0.000 0.000 10.059
```

Summary:
Crystal system ... tetragonal
ΔE to the lowest computed polymorph ... 113 meV per atom
Formation energy from the elements ... -0.038 eV/atom

Entry 6:
TaNiS2 | PBE | relaxed

extended XYZ file:
```
4
Lattice="1.626 0.939 7.505 -1.626 0.939 7.505 0.000 -1.877 7.505" Properties=species:S:1:pos:R:3 pbc="T T T"
Ta 0.000 0.000 0.000
Ni 0.000 0.000 11.258
S 0.000 0.000 9.124
S 0.000 0.000 13.392
```

Summary:
Crystal system ... trigonal
ΔE to the lowest computed polymorph ... 162 meV per atom
Raw formation energy ... -551 meV/atom

Entry 7:
SiAsRu | PBE | relaxed

extended XYZ file:
```
3
Lattice="0.000 2.456 6.176 1.546 0.000 6.176 1.546 2.456 0.000" Properties=species:S:1:pos:R:3 pbc="T T T"
Si 0.000 0.000 0.000
As 1.546 2.456 3.848
Ru 1.546 2.456 7.970
```

Summary:
Crystal system ... orthorhombic
ΔE to the lowest computed polymorph ... 450 meV per atom
Raw formation energy ... 205 meV/atom

Entry 8:
Pm5Sn6 | PBE | relaxed

extended XYZ file:
```
11
Lattice="3.182 -7.140 0.000 3.182 7.140 0.000 -2.744 0.000 7.249" Properties=species:S:1:pos:R:3 pbc="T T T"
Pm 0.000 0.000 0.000
Pm 3.182 2.957 0.000
Pm 1.811 2.135 3.624
Pm 1.811 -2.135 3.624
Pm 3.182 -2.957 0.000
Sn 2.087 5.067 2.189
Sn 1.534 5.067 5.060
Sn 0.594 0.000 5.746
Sn 3.027 0.000 1.503
Sn 2.087 -5.067 2.189
Sn 1.534 -5.067 5.060
```

Summary:
Crystal system ... monoclinic
Formation energy from the elements ... -0.593 eV/atom

Entry 9:
CrMoSe2 | PBE | relaxed

extended XYZ file:
```
4
Lattice="4.106 -1.587 0.000 4.106 1.587 0.000 -1.308 0.000 5.032" Properties=species:S:1:pos:R:3 pbc="T T T"
Cr 0.000 0.000 0.000
Mo 1.101 0.000 2.926
Se 3.482 0.000 1.854
Se 4.590 0.000 4.768
```

Summary:
Crystal system ... monoclinic
ΔE to the lowest computed polymorph ... 308 meV per atom
Raw formation energy ... 18 meV/atom

Entry 10:
SmMgZn2Au4 | PBE | relaxed

extended XYZ file:
```
8
Lattice="2.287 1.320 8.485 -2.287 1.320 8.485 0.000 -2.640 8.485" Properties=species:S:1:pos:R:3 pbc="T T T"
Sm 0.000 0.000 0.000
Mg 0.000 0.000 12.728
Zn 0.000 0.000 6.232
Zn 0.000 0.000 19.224
Au 0.000 0.000 3.262
Au 0.000 0.000 10.020
Au 0.000 0.000 15.436
Au 0.000 0.000 22.194
```

Summary:
Crystal system ... trigonal
Formation energy from the elements ... -0.517 eV/atom

Entry 11:
MnPPt2 | PBE | relaxed

extended XYZ file:
```
4
Lattice="-1.945 1.945 3.913 1.945 -1.945 3.913 1.945 1.945 -3.913" Properties=species:S:1:pos:R:3 pbc="T T T"
Mn 0.000 0.000 0.000
P 0.000 0.000 3.913
Pt 1.945 0.000 1.956
Pt 0.000 1.945 1.956
```

Summary:
Crystal system ... tetragonal
Formation energy from the elements ... -0.156 eV/atom

Entry 12:
Na5LiBi2 | PBE | relaxed

extended XYZ file:
```
16
Lattice="5.517 0.000 0.000 -2.759 4.778 0.000 0.000 0.000 19.325" Properties=species:S:1:pos:R:3 pbc="T T T"
Na 0.000 0.000 2.606
Na 0.000 0.000 7.056
Na 0.000 0.000 12.269
Na 0.000 0.000 16.718
Na 0.000 3.185 1.025
Na 0.000 3.185 4.831
Na 0.000 3.185 8.637
Na 2.759 1.593 10.688
Na 2.759 1.593 14.494
Na 2.759 1.593 18.299
Li 0.000 3.185 14.494
Li 2.759 1.593 4.831
Bi 0.000 3.185 11.879
Bi 0.000 3.185 17.108
Bi 2.759 1.593 2.217
Bi 2.759 1.593 7.445
```

Summary:
Crystal system ... hexagonal
Formation energy from the elements ... -0.327 eV/atom

Entry 13:
AlCoTc4 | PBE | relaxed

extended XYZ file:
```
6
Lattice="0.000 3.583 3.583 3.583 0.000 3.583 3.583 3.583 0.000" Properties=species:S:1:pos:R:3 pbc="T T T"
Al 0.000 0.000 0.000
Co 1.791 1.791 1.791
Tc 4.478 2.688 2.688
Tc 2.688 4.478 2.688
Tc 2.688 2.688 4.478
Tc 4.478 4.478 4.478
```

Summary:
Crystal system ... cubic
Formation energy from the elements ... 0.381 eV/atom

Entry 14:
RbNb3F | PBE | relaxed

extended XYZ file:
```
5
Lattice="4.856 0.000 0.000 0.000 4.856 0.000 0.000 0.000 4.856" Properties=species:S:1:pos:R:3 pbc="T T T"
Rb 0.000 0.000 0.000
Nb 0.000 0.000 2.428
Nb 0.000 2.428 0.000
Nb 2.428 0.000 0.000
F 2.428 2.428 2.428
```

Summary:
Crystal system ... cubic
ΔE to the lowest computed polymorph ... 1803 meV per atom
Raw formation energy ... 2834 meV/atom

Entry 15:
CsCa2IrN | PBE | relaxed

extended XYZ file:
```
5
Lattice="5.827 0.000 0.000 0.000 5.827 0.000 0.000 0.000 4.198" Properties=species:S:1:pos:R:3 pbc="T T T"
Cs 0.000 0.000 0.000
Ca 0.000 2.913 0.000
Ca 2.913 0.000 0.000
Ir 2.913 2.913 2.099
N 0.000 0.000 2.099
```

Summary:
Crystal system ... tetragonal
Raw formation energy ... 1662 meV/atom

Entry 16:
Pr2GdDy | PBE | relaxed

extended XYZ file:
```
4
Lattice="0.000 4.093 4.093 4.093 0.000 4.093 4.093 4.093 0.000" Properties=species:S:1:pos:R:3 pbc="T T T"
Pr 2.047 2.047 2.047
Pr 6.140 6.140 6.140
Gd 0.000 0.000 0.000
Dy 4.093 4.093 4.093
```

Summary:
Crystal system ... cubic
ΔE to the lowest computed polymorph ... 93 meV per atom
Formation energy from the elements ... 0.106 eV/atom

Entry 17:
Tb2Pd2O7 | PBE | relaxed

extended XYZ file:
```
22
Lattice="0.000 5.143 5.143 5.143 0.000 5.143 5.143 5.143 0.000" Properties=species:S:1:pos:R:3 pbc="T T T"
Tb 0.000 0.000 0.000
Tb 2.571 2.571 0.000
Tb 2.571 0.000 2.571
Tb 0.000 2.571 2.571
Pd 5.143 2.571 2.571
Pd 2.571 5.143 2.571
Pd 2.571 2.571 5.143
Pd 5.143 5.143 5.143
O 1.286 1.286 1.286
O 3.857 3.857 1.650
O 3.857 1.650 3.857
O 6.064 3.857 3.857
O 6.428 6.428 4.222
O 6.428 4.222 6.428
O 8.635 6.428 6.428
O 1.650 3.857 3.857
O 3.857 6.064 3.857
O 3.857 3.857 6.064
O 4.222 6.428 6.428
O 6.428 8.635 6.428
O 6.428 6.428 8.635
O 9.000 9.000 9.000
```

Summary:
Crystal system ... cubic
ΔE to the lowest computed polymorph ... 0 meV per atom
Raw formation energy ... -1908 meV/atom

Entry 18:
Tm4TlSbSe2 | PBE | relaxed

extended XYZ file:
```
8
Lattice="7.261 0.000 0.000 0.000 4.101 0.000 -2.343 0.000 6.987" Properties=species:S:1:pos:R:3 pbc="T T T"
Tm 1.206 0.000 1.685
Tm 0.064 2.051 5.327
Tm 4.854 2.051 1.660
Tm 3.712 0.000 5.302
Tl -1.172 0.000 3.493
Sb 2.459 2.051 3.493
Se 0.000 2.051 0.000
Se 3.631 0.000 0.000
```

Summary:
Crystal system ... monoclinic
Raw formation energy ... -1138 meV/atom

Entry 19:
BaLa2GaIr | PBE | relaxed

extended XYZ file:
```
5
Lattice="5.670 0.000 0.000 0.000 5.670 0.000 0.000 0.000 5.088" Properties=species:S:1:pos:R:3 pbc="T T T"
Ba 0.000 0.000 0.000
La 0.000 2.835 2.544
La 2.835 0.000 2.544
Ga 2.835 2.835 0.000
Ir 2.835 2.835 2.544
```

Summary:
Crystal system ... tetragonal
Formation energy from the elements ... -0.340 eV/atom

Entry 20:
GeTeOs | PBE | relaxed

extended XYZ file:
```
6
Lattice="6.000 0.000 0.000 0.000 3.988 0.000 -2.067 0.000 5.742" Properties=species:S:1:pos:R:3 pbc="T T T"
Ge 0.455 0.997 0.808
Ge 3.477 2.991 4.933
Te 0.534 2.991 3.932
Te 3.398 0.997 1.810
Os -1.286 0.997 4.034
Os 5.218 2.991 1.708
```

Summary:
Crystal system ... monoclinic
Raw formation energy ... 104 meV/atom

Entry 21:
Hf6Fe5Os | PBE | relaxed

extended XYZ file:
```
12
Lattice="-2.239 3.157 6.702 2.239 -3.157 6.702 2.239 3.157 -6.702" Properties=species:S:1:pos:R:3 pbc="T T T"
Hf 2.239 1.564 -2.261
Hf 0.000 1.549 0.000
Hf 2.239 1.564 2.261
Hf 0.000 1.593 4.441
Hf 0.000 4.766 0.000
Hf 0.000 1.593 8.964
Fe 2.239 0.000 0.000
Fe 0.000 0.000 2.238
Fe 2.239 0.000 4.468
Fe 0.000 3.157 2.235
Fe 0.000 0.000 11.166
Os 0.000 0.000 6.702
```

Summary:
Crystal system ... orthorhombic
Formation energy from the elements ... -0.384 eV/atom

Entry 22:
Rb2Pb2Au | PBE | relaxed

extended XYZ file:
```
10
Lattice="6.833 -2.437 0.000 6.833 2.437 0.000 -5.329 0.000 11.913" Properties=species:S:1:pos:R:3 pbc="T T T"
Rb -0.467 0.000 1.980
Rb -0.574 0.000 7.375
Rb 8.911 0.000 4.538
Rb 8.804 0.000 9.933
Pb -1.053 0.000 11.183
Pb 3.348 0.000 7.251
Pb 4.990 0.000 4.662
Pb 9.390 0.000 0.730
Au 3.663 0.000 2.171
Au 4.674 0.000 9.742
```

Summary:
Crystal system ... monoclinic
ΔE to the lowest computed polymorph ... 0 meV per atom
Formation energy from the elements ... -0.160 eV/atom

Taking the records one at a time from the top gives magnetization values of 0.0 0.0 0.0 7.2 0.0 0.4 0.0 0.0 0.0 0.0 3.9 0.0 2.0 0.0 0.0 8.0 0.0 0.0 0.0 0.0 0.3 0.0 μB per cell.